Entry w
Entry from Alexandria via LeMat-Bulk: a relaxed MgCdPd6 crystal (PBE). Values from VASP.

```
&SYSTEM
  ibrav = 0, nat = 8, ntyp = 3
/
ATOMIC_SPECIES
Pd 106.42 Pd.upf
Mg 24.30 Mg.upf
Cd 112.41 Cd.upf
ATOMIC_POSITIONS crystal
Pd 0.0000 0.7528 0.7528
Pd 0.0000 0.2472 0.2472
Mg 0.5000 0.0000 0.0000
Pd 0.5000 0.5000 0.0000
Cd 0.5000 0.5000 0.5000
Pd 0.0000 0.7526 0.2474
Pd 0.5000 0.0000 0.5000
Pd 0.0000 0.2474 0.7526
CELL_PARAMETERS angstrom
-0.8182 0.3673 -3.8931
3.2372 -4.5128 -1.1061
-4.5064 -3.3711 0.6291
```

---

Entry x
Entry from Alexandria via LeMat-Bulk: a relaxed MgCdPd6 crystal (PBE). Values from VASP.

```
&SYSTEM
  ibrav = 0, nat = 8, ntyp = 3
/
ATOMIC_SPECIES
Pd 106.42 Pd.upf
Cd 112.41 Cd.upf
Mg 24.30 Mg.upf
ATOMIC_POSITIONS crystal
Pd 0.5393 0.7497 0.6608
Pd 0.9488 0.4601 0.8413
Cd 0.0000 0.0000 0.0000
Pd 0.2506 0.0492 0.2387
Pd 0.4607 0.2503 0.3392
Mg 0.5000 0.5000 0.5000
Pd 0.7494 0.9508 0.7613
Pd 0.0512 0.5399 0.1587
CELL_PARAMETERS angstrom
6.9323 0.3597 -0.1980
3.7676 6.5513 -0.0092
3.4273 2.3917 2.9743
```

---

Least stable: entry x

---

Entry w
Entry from Alexandria via LeMat-Bulk: a relaxed TmMgCdPd crystal (PBE). Values from VASP.

```
&SYSTEM
  ibrav = 0, nat = 4, ntyp = 4
/
ATOMIC_SPECIES
Pd 106.42 Pd.upf
Cd 112.41 Cd.upf
Mg 24.30 Mg.upf
Tm 168.93 Tm.upf
ATOMIC_POSITIONS crystal
Pd 0.1463 0.8537 0.2355
Cd 0.1466 0.8534 0.7013
Mg 0.6455 0.3545 0.4473
Tm 0.6465 0.3535 0.0046
CELL_PARAMETERS angstrom
-0.2295 -3.1878 1.0779
3.1352 0.1903 1.2294
-2.6527 2.3560 6.4015
```

---

Entry x
Entry from Alexandria via LeMat-Bulk: a relaxed TmMgCdPd crystal (PBE). Values from VASP.

```
&SYSTEM
  ibrav = 0, nat = 4, ntyp = 4
/
ATOMIC_SPECIES
Pd 106.42 Pd.upf
Tm 168.93 Tm.upf
Mg 24.30 Mg.upf
Cd 112.41 Cd.upf
ATOMIC_POSITIONS crystal
Pd 0.5000 0.5000 0.5000
Tm 0.2500 0.2500 0.2500
Mg 0.7500 0.7500 0.7500
Cd 0.0000 0.0000 0.0000
CELL_PARAMETERS angstrom
4.8887 0.0000 0.0000
2.4443 4.2337 0.0000
2.4443 1.4112 3.9916
```

---

Least stable: entry x

---

Entry w
Entry from Alexandria via LeMat-Bulk: a relaxed PmMg2Cd5 crystal (PBE). Values from VASP.

```
&SYSTEM
  ibrav = 0, nat = 8, ntyp = 3
/
ATOMIC_SPECIES
Cd 112.41 Cd.upf
Mg 24.30 Mg.upf
Pm 145.00 Pm.upf
ATOMIC_POSITIONS crystal
Cd 0.6326 0.1326 0.2652
Cd 0.1326 0.6326 0.2652
Cd 0.8674 0.3674 0.7348
Cd 0.5000 0.5000 0.0000
Mg 0.2455 0.2455 0.4910
Mg 0.7545 0.7545 0.5090
Cd 0.3674 0.8674 0.7348
Pm 0.0000 0.0000 0.0000
CELL_PARAMETERS angstrom
4.3064 0.0000 -1.6148
-0.6055 4.2636 -1.6148
1.0561 1.2167 9.3661
```

---

Entry x
Entry from Alexandria via LeMat-Bulk: a relaxed PmMg2Cd5 crystal (PBE). Values from VASP.

```
&SYSTEM
  ibrav = 0, nat = 16, ntyp = 3
/
ATOMIC_SPECIES
Cd 112.41 Cd.upf
Mg 24.30 Mg.upf
Pm 145.00 Pm.upf
ATOMIC_POSITIONS crystal
Cd 0.7961 0.0173 0.3135
Cd 0.5173 0.2961 0.3135
Cd 0.2039 0.9827 0.6865
Mg 0.8437 0.6563 0.0000
Cd 0.0000 0.0000 0.0000
Pm 0.7500 0.7500 0.5000
Cd 0.4827 0.7039 0.6865
Cd 0.5000 0.5000 0.0000
Mg 0.3437 0.8437 0.0000
Mg 0.6563 0.1563 0.0000
Pm 0.2500 0.2500 0.5000
Cd 0.0173 0.5173 0.3135
Cd 0.9827 0.4827 0.6865
Cd 0.7039 0.2039 0.6865
Mg 0.1563 0.3437 0.0000
Cd 0.2961 0.7961 0.3135
CELL_PARAMETERS angstrom
7.8949 0.0000 0.0000
0.0000 7.8949 0.0000
-3.9474 -3.9474 6.2901
```

---

Least stable: entry x

---

Entry w
Entry from Alexandria via LeMat-Bulk: a relaxed PmMg4Cd crystal (PBE). Values from VASP.

```
&SYSTEM
  ibrav = 0, nat = 12, ntyp = 3
/
ATOMIC_SPECIES
Mg 24.30 Mg.upf
Pm 145.00 Pm.upf
Cd 112.41 Cd.upf
ATOMIC_POSITIONS crystal
Mg 0.5000 0.0537 0.2500
Pm 0.0000 0.3706 0.2500
Mg 0.0000 0.0000 0.0000
Mg 0.5000 0.9463 0.7500
Mg 0.5000 0.3138 0.9499
Cd 0.0000 0.7710 0.2500
Mg 0.5000 0.6862 0.4499
Cd 0.0000 0.2290 0.7500
Pm 0.0000 0.6294 0.7500
Mg 0.0000 0.0000 0.5000
Mg 0.5000 0.6862 0.0501
Mg 0.5000 0.3138 0.5501
CELL_PARAMETERS angstrom
-3.3260 3.0309 0.0967
-2.2284 -2.6723 7.1093
5.1611 5.5455 3.7023
```

---

Entry x
Entry from Alexandria via LeMat-Bulk: a relaxed PmMg4Cd crystal (PBE). Values from VASP.

```
&SYSTEM
  ibrav = 0, nat = 6, ntyp = 3
/
ATOMIC_SPECIES
Mg 24.30 Mg.upf
Pm 145.00 Pm.upf
Cd 112.41 Cd.upf
ATOMIC_POSITIONS crystal
Mg 0.1264 0.6245 0.6245
Mg 0.6245 0.6245 0.6245
Pm 0.2500 0.2500 0.2500
Mg 0.6245 0.6245 0.1264
Cd 0.0000 0.0000 0.0000
Mg 0.6245 0.1264 0.6245
CELL_PARAMETERS angstrom
-2.9687 4.9211 -1.6333
-3.1706 0.0336 -5.0640
-5.9701 0.0965 0.2139
```

---

Least stable: entry x